1.
## CaLaSc2 (GGA-PBEsol)

Data for a geometry-optimized CaLaSc2 structure.

POSCAR file:
```
CaLaSc2
1.0
-2.576 -2.503 -4.166
-3.414 -4.195 1.000
-5.421 0.647 -0.668
La Sc Ca
1 2 1
Cartesian
-2.853 -1.513 -0.958
0.000 0.000 0.000
-8.558 -4.538 -2.875
-5.706 -3.025 -1.917
```

space-group type	F-43m (216)
ΔE_f	0.201	eV/atom
DFT total energy	-4.97	eV/atom
D(E_F)	1.60	states/eV/atom

2.
## NiPt2Rh (GGA-PBEsol)

Data for a geometry-optimized NiPt2Rh structure.

POSCAR file:
```
NiPt2Rh
1.0
-2.065 1.380 -1.047
-2.307 0.225 1.377
1.489 7.789 3.861
Pt Ni Rh
2 1 1
Cartesian
1.440 7.669 3.799
-0.702 2.394 1.071
-2.180 7.003 3.121
-1.393 4.816 2.157
```

space-group type	R3m (160)
ΔE_f	0.013	eV/atom
DFT total energy	-7.04	eV/atom
D(E_F)	1.78	states/eV/atom

3.
## Zr3Ag (GGA-PBEsol)

Data for a geometry-optimized Zr3Ag structure.

POSCAR file:
```
Zr3Ag
1.0
4.255 0.000 0.000
0.000 4.255 0.000
-2.128 -2.128 4.494
Zr Ag
3 1
Cartesian
0.000 2.128 2.247
2.128 2.128 0.000
2.128 0.000 2.247
0.000 0.000 0.000
```

space-group type	I4/mmm (139)
ΔE_f	-0.005	eV/atom
DFT total energy	-7.65	eV/atom
D(E_F)	1.21	states/eV/atom

4.
## Li2CaZn (GGA-PBEsol)

Data for a geometry-optimized Li2CaZn structure.

POSCAR file:
```
Li2CaZn
1.0
-3.228 1.366 -0.358
-1.396 -3.220 0.309
-0.406 0.833 6.846
Li Ca Zn
2 1 1
Cartesian
-0.075 0.154 1.262
-0.331 0.680 5.584
-2.515 -0.510 3.399
-2.312 -0.927 -0.024
```

space-group type	P4/mmm (123)
ΔE_f	-0.006	eV/atom
DFT total energy	-1.92	eV/atom
D(E_F)	0.64	states/eV/atom

5.
## MnCoTc2 (GGA-PBEsol)

Data for a geometry-optimized MnCoTc2 structure.

POSCAR file:
```
MnCoTc2
1.0
-0.182 1.864 1.799
-1.281 -3.789 1.922
4.461 -0.267 0.729
Tc Co Mn
2 1 1
Cartesian
0.431 -1.507 1.605
2.567 -0.685 2.845
2.231 -0.134 0.365
-0.091 0.932 0.900
```

space-group type	C2/m (12)
ΔE_f	0.150	eV/atom
DFT total energy	-9.86	eV/atom
D(E_F)	1.32	states/eV/atom

6.
## CaTe4Rh (GGA-PBEsol)

Data for a geometry-optimized CaTe4Rh structure.

POSCAR file:
```
CaTe4Rh
1.0
-0.588 5.554 -2.589
-3.459 4.310 2.713
2.668 4.904 2.595
Te Ca Rh
4 1 1
Cartesian
-0.812 8.323 -0.290
0.830 7.995 2.325
-0.516 5.522 1.016
-2.260 7.696 2.385
-1.034 11.076 2.039
0.000 0.000 0.000
```

space-group type	F-43m (216)
DFT total energy	-3.65	eV/atom
ΔE_f (raw)	2.5	eV/f.u.
D(E_F)	0.85	states/eV/atom

7.
## Zr2FeH5 (GGA-PBEsol)

Data for a geometry-optimized Zr2FeH5 structure.

POSCAR file:
```
Zr2FeH5
1.0
5.567 0.000 0.000
0.000 6.798 0.000
0.000 0.000 6.798
Fe H Zr
4 20 8
Cartesian
2.735 0.000 3.399
5.518 0.000 3.399
0.049 3.399 0.000
2.832 3.399 0.000
2.378 0.557 1.943
0.405 3.956 1.456
0.405 1.943 0.557
5.161 5.342 3.956
3.189 2.842 1.456
3.189 1.943 6.242
0.000 0.000 0.000
2.378 6.242 4.855
5.161 0.557 4.855
2.783 0.000 0.000
5.161 6.242 1.943
3.189 3.956 5.342
3.189 4.855 0.557
5.161 1.456 2.842
0.405 2.842 5.342
2.378 5.342 2.842
0.405 4.855 6.242
2.378 1.456 3.956
0.000 3.399 3.399
2.783 3.399 3.399
1.392 5.699 1.099
1.392 2.300 2.300
1.392 4.498 4.498
4.175 4.498 2.300
4.175 5.699 5.699
1.392 1.099 5.699
4.175 1.099 1.099
4.175 2.300 4.498
```

space-group type	P4/ncc (130)
DFT total energy	-5.95	eV/atom
D(E_F)	0.28	states/eV/atom

8.
## Mn2NiMo (GGA-PBEsol)

Data for a geometry-optimized Mn2NiMo structure.

POSCAR file:
```
Mn2NiMo
1.0
-0.797 -1.504 -1.930
1.596 -0.558 -1.939
2.973 -7.496 2.898
Mn Ni Mo
2 1 1
Cartesian
2.870 -7.272 -0.664
0.901 -2.285 -0.307
0.000 0.000 0.000
1.886 -4.779 -0.486
```

space-group type	R-3m (166)
ΔE_f	0.312	eV/atom
DFT total energy	-9.05	eV/atom
D(E_F)	1.33	states/eV/atom